Entry from Alexandria: TaTe2Ir after structural relaxation (PBE). Values from VASP.

Computed properties:
The energy is -6.225 eV/atom. As for the crystal system: tetragonal. The symmetry is I-42d. The uncorrected formation energy is 2.10 eV per formula unit.

Structure (Quantum ESPRESSO input):
```
&SYSTEM
  ibrav = 0, nat = 16, ntyp = 3
/
ATOMIC_SPECIES
Ta 180.95 Ta.upf
Te 127.60 Te.upf
Ir 192.22 Ir.upf
ATOMIC_POSITIONS crystal
Ta 0.000 0.000 0.000
Ta 0.000 0.500 0.250
Ta 0.500 0.000 0.750
Ta 0.500 0.500 0.500
Te 0.233 0.250 0.625
Te 0.250 0.733 0.875
Te 0.250 0.767 0.375
Te 0.267 0.250 0.125
Te 0.733 0.750 0.125
Te 0.750 0.233 0.375
Te 0.750 0.267 0.875
Te 0.767 0.750 0.625
Ir 0.000 0.000 0.500
Ir 0.000 0.500 0.750
Ir 0.500 0.000 0.250
Ir 0.500 0.500 0.000
CELL_PARAMETERS angstrom
6.149 0.000 0.000
0.000 6.149 0.000
0.000 0.000 11.907
```